[1]
Here is Bi2RhN after structural relaxation from the Alexandria database. Energies are from GGA-PBEsol.

Output
- formation energy from raw total energies (meV/atom) = 501

Lattice parameters (Å, degrees): 5.8526 6.7003 5.8526 64.10 90.00 115.90
Closest atoms and distances in Å follow each position.
Fractional positions:
Rh 0.0000 0.0000 0.0000  4 Bi 2.59
Rh 0.7500 0.5000 0.7500  4 Bi 2.59
N 0.5000 0.0000 0.5000  4 Bi 2.33
N 0.2500 0.5000 0.2500  4 Bi 2.33
Bi 0.3750 0.2500 0.1628  2 N 2.33, 2 Rh 2.59
Bi 0.8750 0.2500 0.5872  2 N 2.33, 2 Rh 2.59
Bi 0.1628 0.7500 0.8750  2 N 2.33, 2 Rh 2.59
Bi 0.5872 0.7500 0.3750  2 N 2.33, 2 Rh 2.59

[2]
Here is Bi2RuN after structural relaxation from the Alexandria database. Energies are from GGA-PBEsol.

Output
- formation energy from raw total energies (meV/atom) = 837

Lattice parameters (Å, degrees): 5.8961 6.6029 5.8961 63.48 90.00 116.52
Closest atoms and distances in Å follow each position.
Fractional positions:
N 0.2500 0.5000 0.2500  4 Bi 2.32
N 0.5000 0.0000 0.5000  4 Bi 2.32
Bi 0.5866 0.7500 0.3750  2 N 2.32, 2 Ru 2.59
Bi 0.8750 0.2500 0.5866  2 N 2.32, 2 Ru 2.59
Bi 0.1634 0.7500 0.8750  2 N 2.32, 2 Ru 2.59
Bi 0.3750 0.2500 0.1634  2 N 2.32, 2 Ru 2.59
Ru 0.7500 0.5000 0.7500  4 Bi 2.59
Ru 0.0000 0.0000 0.0000  4 Bi 2.59

[3]
Here is BiRuW2N after structural relaxation from the Alexandria database. Energies are from GGA-PBEsol.

Output
- formation energy from raw total energies (meV/atom) = 4152

Lattice parameters (Å, degrees): 4.8842 5.1104 5.1104 90.00 90.00 90.00
Closest atoms and distances in Å follow each position.
Fractional positions:
W 0.0000 0.5000 0.0000  2 Bi 2.56
W 0.0000 0.0000 0.5000  2 Bi 2.56
Bi 0.0000 0.0000 0.0000  2 Ru 2.44, 4 W 2.56
N 0.5000 0.5000 0.5000  8 W 3.53, 4 Ru 3.61
Ru 0.5000 0.0000 0.0000  2 Bi 2.44

[4]
Here is SrBi2SN after structural relaxation from the Alexandria database. Energies are from GGA-PBEsol.

Output
- formation energy from raw total energies (meV/atom) = 1553

Lattice parameters (Å, degrees): 5.3717 6.1523 6.1523 90.00 90.00 90.00
Closest atoms and distances in Å follow each position.
Fractional positions:
S 0.5000 0.0000 0.0000  2 Sr 2.69
N 0.5000 0.5000 0.5000  8 Bi 4.08, 4 S 4.35
Sr 0.0000 0.0000 0.0000  2 S 2.69
Bi 0.0000 0.5000 0.0000  2 Sr 3.08
Bi 0.0000 0.0000 0.5000  2 Sr 3.08

[5]
Here is BiWSN2 after structural relaxation from the Alexandria database. Energies are from GGA-PBEsol.

Output
- formation energy from raw total energies (meV/atom) = 2257

Lattice parameters (Å, degrees): 4.1830 4.1830 5.0828 90.00 90.00 90.00
Closest atoms and distances in Å follow each position.
Fractional positions:
N 0.5000 0.0000 0.0000  2 Bi 2.09
N 0.0000 0.5000 0.0000  2 Bi 2.09
W 0.5000 0.5000 0.5000  4 S 2.96, 8 N 3.29
Bi 0.0000 0.0000 0.0000  4 N 2.09
S 0.0000 0.0000 0.5000  2 Bi 2.54

[6]
Here is BiWS2N after structural relaxation from the Alexandria database. Energies are from GGA-PBEsol.

Output
- formation energy from raw total energies (meV/atom) = -42

Lattice parameters (Å, degrees): 3.8102 4.8371 4.8371 90.00 90.00 90.00
Closest atoms and distances in Å follow each position.
Fractional positions:
W 0.0000 0.0000 0.0000  2 N 1.91
Bi 0.5000 0.5000 0.5000  8 S 3.08, 4 N 3.42
S 0.0000 0.0000 0.5000  2 W 2.42
S 0.0000 0.5000 0.0000  2 W 2.42
N 0.5000 0.0000 0.0000  2 W 1.91

[7]
Here is ZnBiS2N after structural relaxation from the Alexandria database. Energies are from GGA-PBEsol.

Output
- formation energy from raw total energies (meV/atom) = 499

Lattice parameters (Å, degrees): 3.7571 4.8428 4.8428 90.00 90.00 90.00
Closest atoms and distances in Å follow each position.
Fractional positions:
N 0.5000 0.0000 0.0000  2 Zn 1.88
Zn 0.0000 0.0000 0.0000  2 N 1.88
S 0.0000 0.0000 0.5000  2 Zn 2.42
S 0.0000 0.5000 0.0000  2 Zn 2.42
Bi 0.5000 0.5000 0.5000  8 S 3.06, 4 N 3.42

[8]
Here is BiSb2N after structural relaxation from the Alexandria database. Energies are from GGA-PBEsol.

Output
- formation energy from raw total energies (meV/atom) = 531

Lattice parameters (Å, degrees): 5.8731 5.8731 7.4947 113.07 113.07 90.00
Closest atoms and distances in Å follow each position.
Fractional positions:
Bi 0.2500 0.7500 0.5000  4 Sb 3.06
Bi 0.0000 0.0000 0.0000  4 Sb 3.06
N 0.7500 0.2500 0.5000  4 Sb 2.27
N 0.5000 0.5000 0.0000  4 Sb 2.27
Sb 0.6250 0.5020 0.7500  2 N 2.27
Sb 0.1250 0.2480 0.7500  2 N 2.27
Sb 0.4980 0.8750 0.2500  2 N 2.27
Sb 0.7520 0.3750 0.2500  2 N 2.27

[9]
Here is Bi3SbN after structural relaxation from the Alexandria database. Energies are from GGA-PBEsol.

Output
- formation energy from raw total energies (meV/atom) = 423

Lattice parameters (Å, degrees): 4.9469 4.9469 4.9469 90.00 90.00 90.00
Closest atoms and distances in Å follow each position.
Fractional positions:
N 0.0000 0.0000 0.0000  6 Bi 2.47
Bi 0.0000 0.0000 0.5000  2 N 2.47
Bi 0.0000 0.5000 0.0000  2 N 2.47
Bi 0.5000 0.0000 0.0000  2 N 2.47
Sb 0.5000 0.5000 0.5000  12 Bi 3.50

[10]
Here is SrBiSb2N after structural relaxation from the Alexandria database. Energies are from GGA-PBEsol.

Output
- formation energy from raw total energies (meV/atom) = 580

Lattice parameters (Å, degrees): 4.2811 5.9625 5.9625 90.00 90.00 90.00
Closest atoms and distances in Å follow each position.
Fractional positions:
Sr 0.5000 0.5000 0.5000  8 Sb 3.67
Sb 0.0000 0.0000 0.5000  2 Bi 2.98
Sb 0.0000 0.5000 0.0000  2 Bi 2.98
Bi 0.0000 0.0000 0.0000  2 N 2.14
N 0.5000 0.0000 0.0000  2 Bi 2.14

[11]
Here is ScBiN2 after structural relaxation from the Alexandria database. Energies are from GGA-PBEsol.

Output
- formation energy from raw total energies (meV/atom) = 308

Lattice parameters (Å, degrees): 3.4913 3.4913 6.8391 75.21 75.21 60.00
Closest atoms and distances in Å follow each position.
Fractional positions:
N 0.8964 0.8964 0.3108  1 Sc 2.03
N 0.1036 0.1036 0.6892  1 Sc 2.03
Sc 0.0000 0.0000 0.0000  2 N 2.03
Bi 0.5000 0.5000 0.5000  6 N 2.36

[12]
Here is BiSeN2 after structural relaxation from the Alexandria database. Energies are from GGA-PBEsol.

Output
- formation energy from raw total energies (meV/atom) = 996

Lattice parameters (Å, degrees): 3.2017 3.2017 7.1613 77.08 77.08 60.00
Closest atoms and distances in Å follow each position.
Fractional positions:
N 0.8854 0.8854 0.3438  3 Se 2.14, 1 Bi 2.38
N 0.1146 0.1146 0.6562  3 Se 2.14, 1 Bi 2.38
Se 0.5000 0.5000 0.5000  6 N 2.14
Bi 0.0000 0.0000 0.0000  2 N 2.38

[13]
Here is Bi4Se3N2 after structural relaxation from the Alexandria database. Energies are from GGA-PBEsol.

Output
- formation energy from raw total energies (meV/atom) = -64

Lattice parameters (Å, degrees): 3.9220 7.1844 8.2086 73.59 76.18 74.16
Closest atoms and distances in Å follow each position.
Fractional positions:
Bi 0.8790 0.8271 0.4150  3 N 2.27-2.35
Bi 0.1210 0.1729 0.5850  3 N 2.27-2.35
Bi 0.6883 0.7440 0.8794  1 N 2.22
Bi 0.3117 0.2560 0.1206  1 N 2.22
Se 0.0000 0.0000 0.0000  6 Bi 2.95-3.25
Se 0.3681 0.5491 0.7148  2 Bi 2.86
Se 0.6319 0.4509 0.2852  2 Bi 2.86
N 0.3094 0.0184 0.3628  4 Bi 2.22-2.35
N 0.6906 0.9816 0.6372  4 Bi 2.22-2.35

[14]
Here is SnBiSeN2 after structural relaxation from the Alexandria database. Energies are from GGA-PBEsol.

Output
- formation energy from raw total energies (meV/atom) = 956

Lattice parameters (Å, degrees): 4.1620 4.1620 5.3013 90.00 90.00 90.00
Closest atoms and distances in Å follow each position.
Fractional positions:
Bi 0.5000 0.5000 0.5000  4 Se 2.94
Se 0.0000 0.0000 0.5000  2 Sn 2.65, 4 Bi 2.94
N 0.5000 0.0000 0.0000  2 Sn 2.08
N 0.0000 0.5000 0.0000  2 Sn 2.08
Sn 0.0000 0.0000 0.0000  4 N 2.08

[15]
Here is SrBiSe2N after structural relaxation from the Alexandria database. Energies are from GGA-PBEsol.

Output
- formation energy from raw total energies (meV/atom) = -78

Lattice parameters (Å, degrees): 4.3462 5.5064 5.5064 90.00 90.00 90.00
Closest atoms and distances in Å follow each position.
Fractional positions:
N 0.5000 0.0000 0.0000  2 Bi 2.17
Bi 0.0000 0.0000 0.0000  2 N 2.17
Se 0.0000 0.5000 0.0000  2 Bi 2.75
Se 0.0000 0.0000 0.5000  2 Bi 2.75
Sr 0.5000 0.5000 0.5000  8 Se 3.51, 4 N 3.89

[16]
Here is TaBiSe2N after structural relaxation from the Alexandria database. Energies are from GGA-PBEsol.

Output
- formation energy from raw total energies (meV/atom) = 1550
- distance to the lowest polymorph of the same formula (eV/atom) = 1.734

Lattice parameters (Å, degrees): 4.0403 5.3514 5.3514 90.00 90.00 90.00
Closest atoms and distances in Å follow each position.
Fractional positions:
N 0.5000 0.0000 0.0000  2 Bi 2.02
Ta 0.5000 0.5000 0.5000  8 Se 3.35
Se 0.0000 0.5000 0.0000  2 Bi 2.68
Se 0.0000 0.0000 0.5000  2 Bi 2.68
Bi 0.0000 0.0000 0.0000  2 N 2.02

[17]
Here is TaBiSe2N after structural relaxation from the Alexandria database. Energies are from GGA-PBEsol.

Output
- formation energy from raw total energies (meV/atom) = -184
- distance to the lowest polymorph of the same formula (eV/atom) = 0.000

Lattice parameters (Å, degrees): 3.8884 5.1622 5.1622 90.00 90.00 90.00
Closest atoms and distances in Å follow each position.
Fractional positions:
Se 0.0000 0.5000 0.0000  2 Ta 2.58
Se 0.0000 0.0000 0.5000  2 Ta 2.58
Bi 0.5000 0.5000 0.5000  8 Se 3.23
N 0.5000 0.0000 0.0000  2 Ta 1.94
Ta 0.0000 0.0000 0.0000  2 N 1.94

[18]
Here is YBiSeN2 after structural relaxation from the Alexandria database. Energies are from GGA-PBEsol.

Output
- formation energy from raw total energies (meV/atom) = 475

Lattice parameters (Å, degrees): 4.2867 4.2867 5.5308 90.00 90.00 90.00
Closest atoms and distances in Å follow each position.
Fractional positions:
Y 0.0000 0.0000 0.0000  4 N 2.14
Se 0.0000 0.0000 0.5000  2 Y 2.77, 4 Bi 3.03
Bi 0.5000 0.5000 0.5000  4 Se 3.03
N 0.0000 0.5000 0.0000  2 Y 2.14
N 0.5000 0.0000 0.0000  2 Y 2.14

[19]
Here is Si3BiN after structural relaxation from the Alexandria database. Energies are from GGA-PBEsol.

Output
- formation energy from raw total energies (meV/atom) = 2570

Lattice parameters (Å, degrees): 5.3879 5.3879 5.3879 90.00 90.00 90.00
Closest atoms and distances in Å follow each position.
Fractional positions:
Si 0.0000 0.0000 0.5000  2 Bi 2.69
Si 0.5000 0.0000 0.0000  2 Bi 2.69
Si 0.0000 0.5000 0.0000  2 Bi 2.69
N 0.5000 0.5000 0.5000  12 Si 3.81
Bi 0.0000 0.0000 0.0000  6 Si 2.69

[20]
Here is SiBi2N after structural relaxation from the Alexandria database. Energies are from GGA-PBEsol.

Output
- formation energy from raw total energies (meV/atom) = 1036

Lattice parameters (Å, degrees): 4.7971 4.7971 4.7971 60.00 60.00 60.00
Closest atoms and distances in Å follow each position.
Fractional positions:
Bi 0.2500 0.2500 0.2500  4 Si 2.94, 4 N 2.94
Bi 0.7500 0.7500 0.7500  4 Si 2.94, 4 N 2.94
Si 0.5000 0.5000 0.5000  8 Bi 2.94
N 0.0000 0.0000 0.0000  8 Bi 2.94